## DyTm4Th6 (PBE)

Data for a relaxed DyTm4Th6 crystal.

Unit cell a=6.3700 b=6.3700 c=17.9497 alpha=90.00 beta=90.00 gamma=90.00
Closest atoms and distances in Å follow each position.
Space group I-42m (No. 121)
Inequivalent atoms, fractional coordinates:
1 Dy 0.0000 0.0000 0.0000 (multiplicity 2)  4 Th 3.19
2 Tm 0.1839 0.1839 0.3733 (multiplicity 8)  7 Th 3.26-3.49, 1 Tm 3.31, 1 Dy 3.64
3 Th 0.0000 0.5000 0.0000 (multiplicity 4)  2 Dy 3.19, 4 Tm 3.26
4 Th 0.1881 0.1881 0.1885 (multiplicity 8)  5 Tm 3.32-3.49, 1 Th 3.39

***

## Dy12TmTh2 (PBE)

Data for a relaxed Dy12TmTh2 crystal.

Unit cell a=7.0513 b=11.1027 c=24.5854 alpha=90.00 beta=94.15 gamma=90.00
Closest atoms and distances in Å follow each position.
Space group C2/m (No. 12)
Inequivalent atoms, fractional coordinates:
1 Dy 0.0183 0.2502 0.0729 (multiplicity 8)  9 Dy 3.53-3.63, 4 Tm 3.74
2 Dy 0.1093 0.2393 0.4449 (multiplicity 8)  10 Dy 3.21-3.53
3 Dy 0.1518 0.5000 0.5919 (multiplicity 4)  7 Dy 3.31-3.51
4 Dy 0.1646 0.0000 0.5632 (multiplicity 4)  5 Dy 3.28-3.46
5 Dy 0.1674 0.2353 0.6700 (multiplicity 8)  6 Dy 3.17-3.54, 2 Th 3.54-3.55
6 Dy 0.1997 0.2465 0.7993 (multiplicity 8)  5 Dy 3.17-3.53
7 Dy 0.2151 0.0000 0.8657 (multiplicity 4)  4 Dy 3.19-3.54, 1 Tm 3.30
8 Dy 0.2162 0.5000 0.8648 (multiplicity 4)  8 Dy 3.24-3.63, 1 Tm 3.31
9 Tm 0.2496 0.0000 0.0002 (multiplicity 4)  2 Dy 3.30-3.31, 2 Tm 3.52-3.53
10 Th 0.0556 0.5000 0.2673 (multiplicity 4)  2 Th 3.37-3.68, 10 Dy 3.55-3.75
11 Th 0.0782 0.0000 0.2680 (multiplicity 4)  2 Th 3.37-3.68, 10 Dy 3.54-3.76

***

## DyTm4Th2 (PBE)

Data for a relaxed DyTm4Th2 crystal.

Unit cell a=5.4759 b=5.4759 c=16.7139 alpha=90.00 beta=90.00 gamma=90.00
Closest atoms and distances in Å follow each position.
Space group I4/mmm (No. 139)
Inequivalent atoms, fractional coordinates:
1 Dy 0.0000 0.0000 0.0000 (multiplicity 2)  6 Tm 2.74-2.99
2 Tm 0.0000 0.0000 0.1790 (multiplicity 4)  1 Dy 2.99
3 Tm 0.0000 0.5000 0.0000 (multiplicity 4)  2 Dy 2.74
4 Th 0.0000 0.0000 0.3847 (multiplicity 4)  5 Tm 3.35-3.44

***

Number 1: ΔH_f (0 K) 417 meV per atom. Number 2: ΔH_f (0 K) 123 meV per atom. Number 3: ΔH_f (0 K) 820 meV per atom.